# 1
Computed, not measured: crystalline La3PrMg at its relaxed geometry at the PBE level of DFT.

```
La3PrMg
1.0
0.588 -3.702 -0.847
2.881 -1.513 8.617
-10.213 0.172 0.874
La Pr Mg
6 2 2
Cartesian
-1.956 -3.629 8.033
-6.029 -1.096 2.844
0.389 -2.114 3.048
-5.008 -1.832 6.793
1.835 -2.783 6.955
-2.982 -2.896 4.085
-8.412 -2.978 0.712
-2.456 -0.236 1.550
-0.935 -1.022 6.055
-7.053 -3.702 4.817
```

Results
Relative energy among the computed polymorphs (eV/f.u.): 0.00
Total magnetization (μB per atom): 0.00
Formation energy (meV per atom): -23

# 2
Computed, not measured: crystalline Ta3HgPd at its relaxed geometry at the PBE level of DFT.

```
Ta3HgPd
1.0
4.843 0.000 0.000
0.000 4.843 0.000
0.000 0.000 4.843
Hg Pd Ta
1 1 3
Cartesian
2.422 2.422 2.422
0.000 0.000 0.000
0.000 2.422 0.000
0.000 0.000 2.422
2.422 0.000 0.000
```

Results
Relative energy among the computed polymorphs (eV/f.u.): 0.00
Total magnetization (μB per atom): 0.00
Formation energy (meV per atom): 1349

# 3
Computed, not measured: crystalline DyEr3Ru4 at its relaxed geometry at the PBE level of DFT.

```
DyEr3Ru4
1.0
4.772 0.000 0.000
0.000 6.766 0.000
0.000 0.000 9.543
Ru Er Dy
8 6 2
Cartesian
2.386 5.081 0.000
2.386 5.081 4.772
2.386 1.685 0.000
2.386 1.685 4.772
0.002 5.081 7.158
4.770 5.081 2.386
4.770 1.685 2.386
0.002 1.685 7.158
0.000 0.000 0.000
0.000 0.000 4.772
2.387 0.000 7.158
2.385 0.000 2.386
2.387 3.383 7.158
2.385 3.383 2.386
0.000 3.383 0.000
0.000 3.383 4.772
```

Results
Total magnetization (μB per atom): 0.00
Formation energy (meV per atom): -366

# 4
Computed, not measured: crystalline ErTlGa2Cl6 at its relaxed geometry at the PBE level of DFT.

```
ErTlGa2Cl6
1.0
-4.562 -4.119 -4.350
0.716 -7.492 -0.198
-5.584 -4.422 3.507
Er Tl Ga Cl
1 1 2 6
Cartesian
-1.405 -3.885 -1.373
-6.271 -11.923 -1.714
-4.461 -7.987 -0.815
-5.438 -4.401 3.341
-3.702 -5.085 -1.675
-1.668 -9.273 -0.379
-5.334 -9.255 -3.522
-5.610 -10.199 0.851
-7.358 -7.331 -0.323
-4.686 -6.964 1.997
```

Results
DFT total energy (eV/atom): -3.814
Total magnetization (μB per atom): 0.00

# 5
Computed, not measured: crystalline Sr3LiSm2Te6 at its relaxed geometry at the PBE level of DFT.

```
Sr3LiSm2Te6
1.0
-4.926 -6.167 0.475
7.818 -1.168 0.162
-1.028 3.077 7.271
Sr Li Sm Te
3 1 2 6
Cartesian
5.170 -0.467 3.850
-3.306 -3.791 4.058
0.932 -2.129 3.954
0.000 0.000 0.000
3.565 -2.836 0.267
-0.673 -4.499 0.371
-0.703 -4.019 6.123
1.922 -4.765 2.165
2.567 -0.239 1.785
3.506 -2.368 6.020
-0.058 0.507 5.743
-1.642 -1.889 1.889
```

Results
DFT total energy (eV/atom): -4.451
Total magnetization (μB per atom): 0.00

# 6
Computed, not measured: crystalline TaCr2IrC at its relaxed geometry at the PBE level of DFT.

```
TaCr2IrC
1.0
3.873 0.000 0.000
0.000 3.873 0.000
0.000 0.000 4.242
Cr C Ir Ta
2 1 1 1
Cartesian
0.000 1.936 0.000
1.936 0.000 0.000
0.000 0.000 0.000
1.936 1.936 2.121
0.000 0.000 2.121
```

Results
Total magnetization (μB per atom): 0.27
Formation energy (meV per atom): -190

# 7
Computed, not measured: crystalline Zr2BeO at its relaxed geometry at the PBE level of DFT.

```
Zr2BeO
1.0
-0.480 -1.614 4.916
2.439 -4.425 -1.214
5.695 -0.751 3.056
Be O Zr
2 2 4
Cartesian
0.980 -3.019 1.851
4.557 -4.097 1.846
0.000 0.000 0.000
3.098 -2.692 4.911
1.402 -1.840 3.960
2.915 -3.065 0.344
4.870 -2.580 3.748
6.122 -6.094 5.463
```

Results
Relative energy among the computed polymorphs (eV/f.u.): 0.11
Total magnetization (μB per atom): 0.00

# 8
Computed, not measured: crystalline BC2 at its relaxed geometry at the PBE level of DFT.

```
BC2
1.0
2.603 0.000 0.000
-1.302 2.255 0.000
0.000 0.000 16.032
B C
4 8
Cartesian
0.000 0.000 12.680
1.302 0.752 5.830
0.000 0.000 8.107
0.000 1.503 4.002
1.302 0.752 12.465
0.000 1.503 10.304
1.302 0.752 10.839
0.000 0.000 6.536
0.000 1.503 8.808
1.302 0.752 4.163
0.000 0.000 0.216
0.000 1.503 0.217
```

Results
Relative energy among the computed polymorphs (eV/f.u.): 0.21
Total magnetization (μB per atom): 0.00
Formation energy (meV per atom): 309

# 9
Computed, not measured: crystalline Rb2PuZn2S4 at its relaxed geometry at the PBE level of DFT.

```
Rb2PuZn2S4
1.0
-1.980 0.160 -3.574
1.854 -7.557 -1.365
-5.682 0.163 5.493
Rb Pu Zn S
2 1 2 4
Cartesian
-0.705 -4.080 0.208
-5.102 -3.155 0.347
0.000 0.000 0.000
-1.447 -7.239 -1.861
-4.361 0.004 2.416
-2.446 -1.096 1.306
-3.361 -6.139 -0.751
0.125 -5.718 -2.663
-5.932 -1.517 3.218
```

Results
DFT total energy (eV/atom): -4.999
Total magnetization (μB per atom): 0.66

# 10
Computed, not measured: crystalline PuThTlHg at its relaxed geometry at the PBE level of DFT.

```
PuThTlHg
1.0
-5.107 -1.476 -1.110
-0.976 -4.695 -2.548
-2.279 -4.128 2.693
Tl Hg Th Pu
1 1 1 1
Cartesian
0.000 0.000 0.000
-4.181 -5.150 -0.483
-2.090 -2.575 -0.241
-6.271 -7.725 -0.724
```

Results
Total magnetization (μB per atom): 1.71
Formation energy (meV per atom): -73

# 11
Computed, not measured: crystalline TlZnHg at its relaxed geometry at the PBE level of DFT.

```
TlZnHg
1.0
-4.692 4.533 -1.781
-2.406 -2.764 -0.697
-1.588 -0.076 5.787
Zn Tl Hg
2 2 2
Cartesian
-2.271 1.388 2.338
-2.680 0.044 -0.904
-3.316 2.929 -0.169
-5.313 1.509 2.376
-1.454 0.075 4.726
-1.863 -1.269 1.484
```

Results
Relative energy among the computed polymorphs (eV/f.u.): 0.16
Total magnetization (μB per atom): 0.00
Formation energy (meV per atom): 113

# 12
Computed, not measured: crystalline SmPuBiPd at its relaxed geometry at the PBE level of DFT.

```
SmPuBiPd
1.0
-1.465 -4.452 2.484
2.171 -1.269 4.671
-2.901 0.268 4.433
Pd Bi Sm Pu
1 1 1 1
Cartesian
0.000 0.000 0.000
-1.098 -2.726 5.794
-0.549 -1.363 2.897
-1.646 -4.089 8.691
```

Results
Total magnetization (μB per atom): 1.56
Formation energy (meV per atom): -477

# 13
Computed, not measured: crystalline PmGa2Fe at its relaxed geometry at the PBE level of DFT.

```
PmGa2Fe
1.0
-1.925 0.928 3.571
-4.088 -0.668 0.395
-1.044 -4.744 3.095
Fe Ga Pm
1 2 1
Cartesian
0.000 0.000 0.000
-1.872 -0.582 1.567
-5.186 -3.902 5.493
-3.529 -2.242 3.530
```

Results
Total magnetization (μB per atom): 0.51
Formation energy (meV per atom): -334

# 14
Computed, not measured: crystalline LaBeNi2 at its relaxed geometry at the PBE level of DFT.

```
LaBeNi2
1.0
2.990 0.000 0.000
0.000 2.990 0.000
0.000 0.000 6.608
Ni Be La
2 1 1
Cartesian
0.000 0.000 0.489
0.000 0.000 2.815
1.495 1.495 1.652
1.495 1.495 4.956
```

Results
Total magnetization (μB per atom): 0.00
Formation energy (meV per atom): -44

# 15
Computed, not measured: crystalline Rb3CoI6 at its relaxed geometry at the PBE level of DFT.

```
Rb3CoI6
1.0
8.603 0.000 0.000
0.000 8.603 0.000
4.301 4.301 6.083
I Co Rb
6 1 3
Cartesian
4.301 4.301 2.632
8.603 8.603 3.451
2.440 2.440 0.000
6.162 6.162 0.000
6.162 2.440 0.000
2.440 6.162 0.000
4.301 4.301 0.000
8.603 4.301 3.042
4.301 8.603 3.042
0.000 0.000 0.000
```

Results
Relative energy among the computed polymorphs (eV/f.u.): 0.30
Total magnetization (μB per atom): 0.00

# 16
Computed, not measured: crystalline KNi2As at its relaxed geometry at the PBE level of DFT.

```
KNi2As
1.0
5.146 0.000 0.000
2.082 4.707 0.000
-3.614 -2.353 2.808
As K Ni
1 1 2
Cartesian
3.614 2.353 0.000
2.573 0.000 1.404
0.000 0.000 0.000
1.041 2.353 1.404
```

Results
Total magnetization (μB per atom): 0.00
Formation energy (meV per atom): 679

# 17
Computed, not measured: crystalline ThGa4Ru4 at its relaxed geometry at the PBE level of DFT.

```
ThGa4Ru4
1.0
-0.423 0.820 -4.582
-1.492 -7.993 -1.293
-8.062 1.345 0.986
Th Ga Ru
2 8 8
Cartesian
0.000 0.000 0.000
-4.989 -2.914 -2.444
-3.690 -6.033 -3.369
-6.331 0.290 -1.993
-6.356 -5.248 -0.598
-7.143 -1.038 -4.047
-3.214 -4.054 -4.950
-1.747 -1.599 -2.262
-8.187 -4.313 -2.153
-3.242 -1.314 -0.182
-7.818 -1.694 -1.672
-8.620 -3.034 -4.221
-2.108 -4.234 -2.654
-5.233 0.125 0.213
-6.346 -5.707 -3.112
-4.373 -6.672 -1.083
-1.729 -2.074 -4.686
-3.683 -0.020 -2.340
```

Results
Total magnetization (μB per atom): 0.00
Formation energy (meV per atom): -260

# 18
Computed, not measured: crystalline Ac5Zn12Au3 at its relaxed geometry at the PBE level of DFT.

```
Ac5Zn12Au3
1.0
14.554 0.000 0.000
-4.851 13.722 0.000
-4.851 -6.861 11.883
Au Ac Zn
12 20 48
Cartesian
8.490 4.288 1.485
8.490 9.434 1.485
-1.213 6.003 7.427
1.213 -0.858 4.456
10.916 0.000 2.971
1.213 6.861 2.971
3.639 0.000 8.913
-6.064 6.861 8.913
3.639 7.718 7.427
6.064 0.858 4.456
-3.639 -2.573 10.398
-3.639 2.573 10.398
-1.213 3.430 2.971
-2.426 6.861 0.000
0.000 0.000 0.000
3.639 2.573 1.485
4.851 -3.430 5.942
4.851 6.861 0.000
-3.639 7.718 4.456
6.064 -4.288 10.398
6.064 6.003 4.456
1.213 -3.430 8.913
3.639 10.291 2.971
2.426 3.430 5.942
7.277 0.000 0.000
-2.426 -3.430 5.942
-1.213 0.858 7.427
-1.213 11.149 1.485
-4.851 3.430 5.942
8.490 -0.858 7.427
1.213 4.288 10.398
6.064 3.430 8.913
9.746 1.393 1.176
-0.043 5.145 5.323
10.222 3.094 2.936
6.758 2.435 1.794
1.936 5.845 7.772
9.689 6.518 1.830
-0.519 7.520 4.730
-4.332 11.287 1.794
0.490 7.877 7.772
7.291 7.204 1.830
7.234 3.108 4.147
7.234 12.329 1.176
-4.361 6.223 7.118
2.412 5.447 1.212
-4.808 10.613 4.147
2.382 -1.716 6.560
-0.490 0.378 3.006
2.412 8.617 0.618
6.758 10.628 2.936
0.014 5.105 0.618
-2.916 7.239 8.877
2.945 6.202 4.730
6.787 7.499 7.118
4.837 -1.414 10.672
1.906 0.659 7.154
-1.936 -0.638 4.766
0.014 8.274 1.212
-1.906 -3.767 8.948
7.767 -0.378 3.006
4.837 1.756 11.265
2.440 -1.756 11.265
2.469 8.576 5.323
5.342 6.483 8.877
9.659 -3.752 7.736
9.213 0.638 4.766
-2.382 -5.468 10.707
2.440 1.414 10.672
4.361 -1.016 4.112
-2.440 -0.343 10.053
-2.382 3.752 7.736
9.183 -4.426 10.089
5.371 -0.659 7.154
-1.906 4.426 10.089
-4.837 0.343 10.053
2.916 1.016 4.112
-5.371 3.767 8.948
4.895 1.716 6.560
-4.895 5.468 10.707
```

Results
Total magnetization (μB per atom): 0.00
Formation energy (meV per atom): 162

# 19
Computed, not measured: crystalline LiY2ScH at its relaxed geometry at the PBE level of DFT.

```
LiY2ScH
1.0
-3.023 -0.379 -4.266
2.350 -4.512 -1.265
-2.735 -2.018 2.118
Y Sc H Li
2 1 1 1
Cartesian
1.175 -2.256 -0.632
-1.512 -0.190 -2.133
-1.368 -1.009 1.059
0.000 0.000 0.000
-1.704 -3.455 -1.706
```

Results
Relative energy among the computed polymorphs (eV/f.u.): 0.23
Total magnetization (μB per atom): 0.00

# 20
Computed, not measured: crystalline ZnW2Cl at its relaxed geometry at the PBE level of DFT.

```
ZnW2Cl
1.0
-0.706 1.180 2.376
-0.376 -2.478 1.120
8.084 -0.115 2.459
Cl W Zn
1 2 1
Cartesian
5.522 -0.735 3.592
0.056 -0.001 0.017
3.986 -0.057 1.212
1.480 -0.678 2.362
```

Results
Relative energy among the computed polymorphs (eV/f.u.): 2.41
Total magnetization (μB per atom): 0.00